The following is a DFT calculation (GGA-PBE) of an optimized crystal structure of Te2Pd2Au.

Geometry as POSCAR:
```
Te2Pd2Au
1.0
7.3217 0.0000 0.0000
0.0000 7.3217 0.0000
0.0000 0.0000 3.8446
Te Au Pd
4 2 4
Cartesian
1.2070 4.8678 1.9223
4.8678 6.1147 1.9223
6.1147 2.4538 1.9223
2.4538 1.2070 1.9223
0.0000 0.0000 0.0000
3.6608 3.6608 0.0000
2.6486 6.3094 0.0000
6.3094 4.6731 0.0000
4.6731 1.0122 0.0000
1.0122 2.6486 0.0000
```

Output
ΔE_f (raw) = -0.10 eV/atom
M_tot = 0.000 μB per formula unit

The following is a DFT calculation (GGA-PBE) of an optimized crystal structure of Mg2TiHg3.

Geometry as POSCAR:
```
Mg2TiHg3
1.0
-2.2162 -1.8607 -1.4244
2.2553 -1.1616 -1.9917
2.2971 -8.5397 7.5818
Mg Ti Hg
2 1 3
Cartesian
1.9270 -8.6020 4.5875
0.4093 -2.9600 -0.4217
1.1681 -5.7810 2.0829
0.0000 0.0000 0.0000
1.5164 -5.6374 5.0050
0.7807 -2.9023 2.5768
```

Output
M_tot = 0.000 μB per formula unit
energy relative to the elements = -0.125 eV per atom

The following is a DFT calculation (GGA-PBE) of an optimized crystal structure of ZrTl2Mo.

Geometry as POSCAR:
```
ZrTl2Mo
1.0
-0.0494 2.4858 -3.7690
1.0350 -3.4901 -2.3154
-4.1881 -0.8892 -0.5316
Mo Tl Zr
1 2 1
Cartesian
-2.1187 0.7983 -2.1503
0.0000 0.0000 0.0000
-1.5765 -2.1897 -1.4235
0.4928 -0.5021 -3.0422
```

Output
polymorph energy (0 for the lowest one) = 77 meV/atom
M_tot = 0.515 μB per formula unit
energy relative to the elements = 0.402 eV per atom

The following is a DFT calculation (GGA-PBE) of an optimized crystal structure of La2MnH4.

Geometry as POSCAR:
```
La2MnH4
1.0
-2.5140 -1.2787 -2.1989
0.6465 -3.3113 1.1864
-6.0453 -1.3880 4.8103
H Mn La
4 1 2
Cartesian
-3.0537 -4.3795 0.2213
-4.8591 -1.5985 3.5765
0.3232 -1.6557 0.5932
-1.2570 -0.6393 -1.0995
0.0000 0.0000 0.0000
-5.6645 -3.9163 2.9368
-2.2483 -2.0618 0.8610
```

Output
energy = -4.948 eV/atom
M_tot = 1.420 μB per formula unit

The following is a DFT calculation (GGA-PBE) of an optimized crystal structure of CaFePt2.

Geometry as POSCAR:
```
CaFePt2
1.0
3.7851 0.0000 0.0000
0.0000 4.2413 0.0000
0.0000 0.0000 4.2413
Ca Fe Pt
1 1 2
Cartesian
1.8926 2.1207 0.0000
1.8926 0.0000 2.1207
0.0000 0.0000 0.0000
0.0000 2.1207 2.1207
```

Output
M_tot = 3.468 μB per formula unit
energy relative to the elements = -0.323 eV per atom

The following is a DFT calculation (GGA-PBE) of an optimized crystal structure of InIr2Cl.

Geometry as POSCAR:
```
InIr2Cl
1.0
-2.0211 0.5366 -1.9981
-3.4939 -2.2441 2.9315
-0.9116 4.0421 2.0077
Cl Ir In
1 2 1
Cartesian
-1.4664 2.2894 0.0048
0.0000 0.0000 0.0000
-2.7575 -0.8537 0.4667
-2.2027 0.8990 2.4696
```

Output
polymorph energy (0 for the lowest one) = 303 meV/atom
ΔE_f (raw) = 0.48 eV/atom
M_tot = 0.000 μB per formula unit

The following is a DFT calculation (GGA-PBE) of an optimized crystal structure of TaBeRh.

Geometry as POSCAR:
```
TaBeRh
1.0
3.3569 0.0000 0.0000
0.0000 6.4208 0.0000
0.0000 0.0000 11.0297
Ta Be Rh
6 6 6
Cartesian
0.0000 1.4823 10.5685
0.0000 4.9384 0.4612
0.0000 1.4823 5.9761
0.0000 4.9384 5.0536
0.0000 0.9486 2.7574
0.0000 5.4721 8.2723
1.6785 0.3308 1.0111
1.6785 6.0900 10.0186
1.6785 0.3308 4.5038
1.6785 6.0900 6.5260
0.0000 3.5665 2.7574
0.0000 2.8542 8.2723
1.6785 2.7247 1.3438
1.6785 3.6960 9.6859
1.6785 2.7247 4.1711
1.6785 3.6960 6.8587
1.6785 5.1511 2.7574
1.6785 1.2697 8.2723
```

Output
polymorph energy (0 for the lowest one) = 0 meV/atom
M_tot = 0.000 μB per formula unit
energy relative to the elements = -0.522 eV per atom

The following is a DFT calculation (GGA-PBE) of an optimized crystal structure of MnInCuS4.

Geometry as POSCAR:
```
MnInCuS4
1.0
3.8191 0.0000 0.0000
0.0000 6.2157 -0.0435
0.0000 -0.0002 6.7934
Mn In Cu S
1 1 1 4
Cartesian
0.0000 6.1547 5.5962
0.0000 3.1986 1.1027
1.9096 3.1015 4.4982
1.9096 5.3411 4.7355
0.0000 5.6712 0.8962
0.0000 2.2299 5.5194
1.9096 2.2730 2.3651
```

Output
ΔE_f (raw) = -0.36 eV/atom
M_tot = 2.995 μB per formula unit

The following is a DFT calculation (GGA-PBE) of an optimized crystal structure of PaNi4Te.

Geometry as POSCAR:
```
PaNi4Te
1.0
5.0488 0.0000 0.0000
2.5244 4.3724 0.0000
2.5244 1.4575 4.1224
Ni Pa Te
4 1 1
Cartesian
5.0488 2.9150 0.5098
5.0488 1.4523 2.5783
6.3156 3.6463 2.5783
3.7821 3.6463 2.5783
0.0000 0.0000 0.0000
2.5244 1.4575 1.0306
```

Output
ΔE_f (raw) = -0.29 eV/atom
M_tot = 0.561 μB per formula unit

The following is a DFT calculation (GGA-PBE) of an optimized crystal structure of TlCdGeF6.

Geometry as POSCAR:
```
TlCdGeF6
1.0
-4.6217 0.2926 3.5879
4.9708 -2.5060 1.8249
3.6946 10.1889 3.9282
Tl Cd Ge F
2 2 2 12
Cartesian
0.0000 0.0000 0.0000
1.8473 5.0944 1.9641
2.6969 0.9741 3.3946
1.3467 7.0014 5.9463
-0.5006 1.9070 3.9823
4.5442 6.0685 5.3587
0.6045 0.2341 3.9862
-2.0897 0.9295 4.7164
5.5271 4.3407 5.6201
6.1333 7.0459 4.6246
1.2407 2.7494 3.4551
-0.1792 2.3145 5.9188
5.1399 6.3960 7.2448
-1.4834 3.6348 3.7208
4.2229 5.6610 3.4221
-1.0962 1.5795 2.0961
2.8030 5.2260 5.8858
3.4392 7.7414 5.3547
```

Output
ΔE_f (raw) = -2.08 eV/atom
M_tot = 0.656 μB per formula unit

The following is a DFT calculation (GGA-PBE) of an optimized crystal structure of Zr6Fe23.

Geometry as POSCAR:
```
Zr6Fe23
1.0
-6.6759 2.7083 4.0196
-1.4333 -2.4600 7.7429
0.8235 5.3317 6.2413
Fe Zr
23 6
Cartesian
-3.6428 2.7901 9.0019
-0.7167 -1.2300 3.8715
-2.9262 4.0200 5.1304
-0.3049 1.4359 6.9921
-3.3379 1.3542 2.0098
-4.0546 0.1242 5.8813
0.4118 2.6659 3.1206
-3.8317 4.6658 7.4244
-1.2808 2.1510 9.2361
-4.9298 0.8746 8.1551
-4.5291 3.4688 11.1919
-6.0048 3.4291 8.7677
-3.4540 0.9143 10.5793
-2.3559 4.7055 9.8487
-2.7566 2.1113 6.8119
-5.5845 5.3794 12.4984
-3.9603 3.7782 13.6520
-6.2837 2.9654 12.9636
-6.0285 4.6173 14.8973
-3.3254 1.8019 4.3518
-1.7012 0.2007 5.5054
-1.0020 2.6147 5.0401
-1.2571 0.9628 3.1065
-4.9429 5.8791 9.7426
-2.3428 -0.2990 8.2611
-5.4274 2.7420 6.0703
-1.8582 2.8381 11.9334
-1.0149 4.2856 7.3776
-6.2708 1.2945 10.6262
```

Output
M_tot = 44.637 μB per formula unit
energy relative to the elements = -0.168 eV per atom

The following is a DFT calculation (GGA-PBE) of an optimized crystal structure of Ac5PtAu4.

Geometry as POSCAR:
```
Ac5PtAu4
1.0
5.7599 0.0000 2.7782
2.8800 7.1735 1.3891
-0.2365 0.0000 7.8503
Ac Pt Au
5 1 4
Cartesian
6.1181 2.7595 9.4112
3.8484 5.8188 6.7569
4.5672 1.3547 5.2665
2.2975 4.4141 2.6122
2.8847 0.0000 1.3914
0.0058 0.0000 0.0028
3.2987 2.8560 7.8965
6.7703 5.6794 8.0590
1.6453 1.4941 3.9644
5.1170 4.3175 4.1269
```

Output
M_tot = 0.000 μB per formula unit
energy relative to the elements = -0.856 eV per atom

The following is a DFT calculation (GGA-PBE) of an optimized crystal structure of ThGaSn2.

Geometry as POSCAR:
```
ThGaSn2
1.0
-2.1569 -2.0771 -2.5796
2.8358 -2.7484 -0.1580
-2.8504 -3.2275 4.9822
Ga Sn Th
1 2 1
Cartesian
0.3395 -2.4128 -1.3688
-2.2215 -2.5154 3.8829
-0.6290 -0.7122 1.0993
-1.0858 -4.0265 1.1223
```

Output
polymorph energy (0 for the lowest one) = 157 meV/atom
M_tot = 0.000 μB per formula unit
energy relative to the elements = -0.306 eV per atom

The following is a DFT calculation (GGA-PBE) of an optimized crystal structure of LaCeHgSb.

Geometry as POSCAR:
```
LaCeHgSb
1.0
-4.4179 2.4941 -2.0928
-4.8731 -0.5218 2.4695
-2.2265 4.2838 2.6096
Sb Hg Ce La
1 1 1 1
Cartesian
0.0000 0.0000 0.0000
-5.7587 3.1280 1.4931
-2.8794 1.5640 0.7466
-8.6381 4.6920 2.2397
```

Output
ΔE_f (raw) = -0.65 eV/atom
M_tot = 1.736 μB per formula unit

The following is a DFT calculation (GGA-PBE) of an optimized crystal structure of Mg2ZnSi2Ir5.

Geometry as POSCAR:
```
Mg2ZnSi2Ir5
1.0
3.2005 0.0000 0.0000
0.0000 9.7027 0.0000
0.0000 0.0000 9.7027
Mg Zn Si Ir
4 2 4 10
Cartesian
0.0000 6.5162 1.6649
0.0000 3.1865 8.0379
0.0000 1.6649 3.1865
0.0000 8.0379 6.5162
0.0000 0.0000 0.0000
0.0000 4.8514 4.8514
0.0000 1.2734 6.1247
0.0000 8.4293 3.5780
0.0000 6.1247 8.4293
0.0000 3.5780 1.2734
1.6002 1.9649 0.6855
1.6002 7.7378 9.0172
1.6002 0.6855 7.7378
1.6002 6.8163 4.1659
1.6002 9.0172 1.9649
1.6002 2.8865 5.5369
1.6002 5.5369 6.8163
1.6002 4.1659 2.8865
1.6002 4.8514 0.0000
1.6002 0.0000 4.8514
```

Output
ΔE_f (raw) = -0.49 eV/atom
M_tot = 0.000 μB per formula unit

The following is a DFT calculation (GGA-PBE) of an optimized crystal structure of LiDy2TmCd4.

Geometry as POSCAR:
```
LiDy2TmCd4
1.0
-1.2773 -4.4002 2.4213
2.0260 -1.0837 4.6451
-6.2209 2.1087 6.0960
Li Dy Tm Cd
1 2 1 4
Cartesian
-2.7361 -1.6876 6.5812
-4.0902 -2.5400 9.8637
-1.3821 -0.8353 3.2987
0.0000 0.0000 0.0000
-5.0977 -0.2508 7.9465
-1.7063 -3.9903 8.4856
-3.7659 0.6150 4.6768
-0.3745 -3.1244 5.2160
```

Output
M_tot = 0.000 μB per formula unit
energy relative to the elements = -0.286 eV per atom